The following is a DFT calculation (GGA-PBEsol) of crystalline CsPS2Cl at its relaxed geometry.

Unit cell a=4.847 b=4.994 c=4.994 alpha=90.00 beta=90.00 gamma=90.00
Each line ends with the local moment (μB).
Fractional positions:
Cs 0.500 0.500 0.500  0.04
P 0.500 0.000 0.000  0.61
S 0.000 0.000 0.500  0.12
S 0.000 0.500 0.000  0.12
Cl 0.000 0.000 0.000  0.07

## Properties
ΔE_f (raw): 0.5755 eV/atom



The following is a DFT calculation (GGA-PBEsol) of crystalline CsSbP2Cl at its relaxed geometry.

Unit cell a=5.041 b=5.041 c=5.819 alpha=90.00 beta=90.00 gamma=90.00
Each line ends with the local moment (μB).
Fractional positions:
Cs 0.500 0.500 0.500  0.00
Sb 0.000 0.000 0.000  -0.01
P 0.000 0.500 0.000  0.06
P 0.500 0.000 0.000  0.06
Cl 0.000 0.000 0.500  0.01

## Properties
Energy above the lowest structure with this stoichiometry: 0 meV per atom
ΔE_f (raw): 0.0336 eV/atom



The following is a DFT calculation (GGA-PBEsol) of crystalline CsSbP2Cl at its relaxed geometry.

Unit cell a=5.627 b=5.353 c=5.353 alpha=90.00 beta=90.00 gamma=90.00
Each line ends with the local moment (μB).
Fractional positions:
Cs 0.000 0.000 0.000  0.02
Sb 0.500 0.500 0.500  -0.22
P 0.000 0.000 0.500  0.14
P 0.000 0.500 0.000  0.14
Cl 0.500 0.000 0.000  -0.02

## Properties
Energy above the lowest structure with this stoichiometry: 1400 meV per atom
ΔE_f (raw): 1.4337 eV/atom



The following is a DFT calculation (GGA-PBEsol) of crystalline CsSnPCl2 at its relaxed geometry.

Unit cell a=5.122 b=5.476 c=5.476 alpha=90.00 beta=90.00 gamma=90.00
Each line ends with the local moment (μB).
Fractional positions:
Cs 0.500 0.500 0.500  0.01
P 0.500 0.000 0.000  0.38
Sn 0.000 0.000 0.000  0.01
Cl 0.000 0.000 0.500  0.05
Cl 0.000 0.500 0.000  0.05

## Properties
ΔE_f (raw): -0.6517 eV/atom



The following is a DFT calculation (GGA-PBEsol) of crystalline CsSrP2Cl at its relaxed geometry.

Unit cell a=5.617 b=5.818 c=5.818 alpha=90.00 beta=90.00 gamma=90.00
Each line ends with the local moment (μB).
Fractional positions:
Cs 0.500 0.500 0.500  0.02
Sr 0.000 0.000 0.000  0.02
P 0.000 0.000 0.500  0.56
P 0.000 0.500 0.000  0.56
Cl 0.500 0.000 0.000  0.07

## Properties
ΔE_f (raw): -0.1824 eV/atom



The following is a DFT calculation (GGA-PBEsol) of crystalline CsTcPCl2 at its relaxed geometry.

Unit cell a=4.522 b=5.099 c=5.099 alpha=90.00 beta=90.00 gamma=90.00
Each line ends with the local moment (μB).
Fractional positions:
Cs 0.500 0.500 0.500  0.00
P 0.500 0.000 0.000  -0.05
Tc 0.000 0.000 0.000  1.12
Cl 0.000 0.000 0.500  0.03
Cl 0.000 0.500 0.000  0.03

## Properties
ΔE_f (raw): -0.5345 eV/atom



The following is a DFT calculation (GGA-PBEsol) of crystalline CsTlPCl2 at its relaxed geometry.

Unit cell a=5.110 b=5.663 c=5.663 alpha=90.00 beta=90.00 gamma=90.00
Each line ends with the local moment (μB).
Fractional positions:
Cs 0.500 0.500 0.500  0.01
P 0.500 0.000 0.000  0.60
Tl 0.000 0.000 0.000  0.01
Cl 0.000 0.000 0.500  0.06
Cl 0.000 0.500 0.000  0.06

## Properties
ΔE_f (raw): -0.5290 eV/atom



The following is a DFT calculation (GGA-PBEsol) of crystalline CsYP2Cl at its relaxed geometry.

Unit cell a=5.237 b=5.237 c=5.542 alpha=90.00 beta=90.00 gamma=90.00
Fractional positions:
Cs 0.000 0.000 0.000
Y 0.500 0.500 0.500
P 0.000 0.500 0.000
P 0.500 0.000 0.000
Cl 0.000 0.000 0.500

## Properties
ΔE_f (raw): 0.7320 eV/atom



The following is a DFT calculation (GGA-PBEsol) of crystalline CsPb2Cl5 at its relaxed geometry.

Unit cell a=5.484 b=7.731 c=7.711 alpha=96.57 beta=92.23 gamma=109.21
Fractional positions:
Pb 0.223 0.679 0.039
Pb 0.978 0.091 0.017
Cs 0.559 0.326 0.534
Cl 0.119 0.931 0.302
Cl 0.433 0.042 0.900
Cl 0.083 0.409 0.269
Cl 0.759 0.688 0.900
Cl 0.089 0.360 0.783

## Properties
Energy above the lowest structure with this stoichiometry: 61 meV per atom
ΔE_f (raw): -1.3154 eV/atom



The following is a DFT calculation (GGA-PBEsol) of crystalline CsPbCl3 at its relaxed geometry.

Unit cell a=5.997 b=5.997 c=5.997 alpha=90.00 beta=90.00 gamma=90.00
Fractional positions:
Pb 0.500 0.500 0.500
Cs 0.000 0.000 0.000
Cl 0.000 0.500 0.000
Cl 0.000 0.000 0.500
Cl 0.500 0.000 0.000

## Properties
ΔE_f (raw): -0.3965 eV/atom



The following is a DFT calculation (GGA-PBEsol) of crystalline Cs4PbCl6 at its relaxed geometry.

Unit cell a=9.312 b=9.312 c=9.312 alpha=88.90 beta=88.90 gamma=88.90
Fractional positions:
Cl 0.207 0.426 0.563
Cl 0.426 0.563 0.207
Cl 0.563 0.207 0.426
Cl 0.293 0.937 0.074
Cl 0.074 0.293 0.937
Cl 0.937 0.074 0.293
Cl 0.793 0.574 0.437
Cl 0.574 0.437 0.793
Cl 0.437 0.793 0.574
Cl 0.707 0.063 0.926
Cl 0.926 0.707 0.063
Cl 0.063 0.926 0.707
Cs 0.250 0.250 0.250
Cs 0.750 0.750 0.750
Cs 0.624 0.876 0.250
Cs 0.876 0.250 0.624
Cs 0.250 0.624 0.876
Cs 0.376 0.124 0.750
Cs 0.124 0.750 0.376
Cs 0.750 0.376 0.124
Pb 0.500 0.500 0.500
Pb 0.000 0.000 0.000

## Properties
ΔE_f (raw): -1.7707 eV/atom



The following is a DFT calculation (GGA-PBEsol) of crystalline Cs3PbCl at its relaxed geometry.

Unit cell a=6.489 b=6.489 c=6.489 alpha=90.00 beta=90.00 gamma=90.00
Each line ends with the local moment (μB).
Fractional positions:
Pb 0.500 0.500 0.500  0.48
Cs 0.000 0.500 0.000  0.02
Cs 0.000 0.000 0.500  0.02
Cs 0.500 0.000 0.000  0.02
Cl 0.000 0.000 0.000  0.00

## Properties
ΔE_f (raw): -0.6861 eV/atom



The following is a DFT calculation (GGA-PBEsol) of crystalline CsPb2Cl5 at its relaxed geometry.

Unit cell a=8.003 b=8.003 c=9.262 alpha=115.60 beta=115.60 gamma=90.00
Fractional positions:
Cs 0.750 0.750 0.500
Cs 0.250 0.250 0.500
Pb 0.164 0.664 0.000
Pb 0.336 0.164 0.000
Pb 0.664 0.836 0.000
Pb 0.836 0.336 0.000
Cl 0.000 0.000 0.000
Cl 0.500 0.500 0.000
Cl 0.027 0.223 0.750
Cl 0.223 0.723 0.750
Cl 0.527 0.027 0.750
Cl 0.723 0.527 0.750
Cl 0.277 0.473 0.250
Cl 0.473 0.973 0.250
Cl 0.777 0.277 0.250
Cl 0.973 0.777 0.250

## Properties
Energy above the lowest structure with this stoichiometry: 0 meV per atom
ΔE_f (raw): -1.3761 eV/atom



The following is a DFT calculation (GGA-PBEsol) of crystalline CsPbCl3 at its relaxed geometry.

Unit cell a=5.686 b=7.754 c=7.754 alpha=90.00 beta=90.00 gamma=90.00
Fractional positions:
Cs 0.500 0.500 0.000
Cs 0.500 0.000 0.500
Pb 0.000 0.500 0.500
Pb 0.000 0.000 0.000
Cl 0.000 0.186 0.314
Cl 0.500 0.000 0.000
Cl 0.500 0.500 0.500
Cl 0.000 0.686 0.186
Cl 0.000 0.314 0.814
Cl 0.000 0.814 0.686

## Properties
ΔE_f (raw): -1.4971 eV/atom



The following is a DFT calculation (GGA-PBEsol) of crystalline CsPbCl3 at its relaxed geometry.

Unit cell a=5.605 b=5.605 c=5.605 alpha=90.00 beta=90.00 gamma=90.00
Fractional positions:
Pb 0.500 0.500 0.500
Cs 0.000 0.000 0.000
Cl 0.000 0.500 0.500
Cl 0.500 0.000 0.500
Cl 0.500 0.500 0.000

## Properties
ΔE_f (raw): -1.4836 eV/atom



The following is a DFT calculation (GGA-PBEsol) of crystalline CsPbCl2 at its relaxed geometry.

Unit cell a=4.070 b=4.070 c=10.339 alpha=78.65 beta=78.65 gamma=60.00
Fractional positions:
Pb 0.000 0.000 0.000
Cs 0.500 0.500 0.500
Cl 0.909 0.909 0.272
Cl 0.091 0.091 0.728

## Properties
ΔE_f (raw): -1.0813 eV/atom



The following is a DFT calculation (GGA-PBEsol) of crystalline CsTa6PbCl18 at its relaxed geometry.

Unit cell a=9.268 b=9.268 c=17.171 alpha=90.00 beta=90.00 gamma=120.00
Fractional positions:
Cs 0.333 0.667 0.250
Cs 0.667 0.333 0.750
Ta 0.193 0.027 0.069
Ta 0.166 0.193 0.931
Ta 0.807 0.834 0.569
Ta 0.807 0.973 0.931
Ta 0.834 0.807 0.069
Ta 0.027 0.193 0.569
Ta 0.193 0.166 0.431
Ta 0.973 0.807 0.431
Ta 0.834 0.027 0.431
Ta 0.166 0.973 0.569
Ta 0.027 0.834 0.931
Ta 0.973 0.166 0.069
Pb 0.333 0.667 0.750
Pb 0.667 0.333 0.250
Cl 0.162 0.742 0.500
Cl 0.945 0.569 0.344
Cl 0.580 0.742 0.000
Cl 0.258 0.420 0.500
Cl 0.838 0.580 0.000
Cl 0.838 0.258 0.500
Cl 0.774 0.805 0.338
Cl 0.031 0.226 0.338
Cl 0.376 0.431 0.844
Cl 0.805 0.774 0.838
Cl 0.969 0.195 0.838
Cl 0.431 0.055 0.156
Cl 0.420 0.258 0.000
Cl 0.624 0.055 0.344
Cl 0.580 0.838 0.500
Cl 0.162 0.420 0.000
Cl 0.569 0.624 0.656
Cl 0.226 0.195 0.662
Cl 0.420 0.162 0.500
Cl 0.195 0.226 0.162
Cl 0.742 0.580 0.500
Cl 0.376 0.945 0.656
Cl 0.055 0.624 0.844
Cl 0.055 0.431 0.656
Cl 0.226 0.031 0.838
Cl 0.031 0.805 0.162
Cl 0.431 0.376 0.344
Cl 0.774 0.969 0.162
Cl 0.742 0.162 0.000
Cl 0.805 0.031 0.662
Cl 0.624 0.569 0.156
Cl 0.945 0.376 0.156
Cl 0.195 0.969 0.338
Cl 0.569 0.945 0.844
Cl 0.969 0.774 0.662
Cl 0.258 0.838 0.000

## Properties
ΔE_f (raw): -1.3603 eV/atom



The following is a DFT calculation (GGA-PBEsol) of crystalline Cs2Ta6PbCl18 at its relaxed geometry.

Unit cell a=9.463 b=9.463 c=10.244 alpha=62.49 beta=62.49 gamma=60.00
Fractional positions:
Cs 0.276 0.276 0.172
Cs 0.724 0.724 0.828
Ta 0.646 0.300 0.635
Ta 0.700 0.581 0.365
Ta 0.581 0.354 0.365
Ta 0.300 0.419 0.635
Ta 0.354 0.700 0.365
Ta 0.419 0.646 0.635
Pb 0.000 0.000 0.000
Cl 0.771 0.090 0.498
Cl 0.090 0.640 0.498
Cl 0.640 0.771 0.498
Cl 0.042 0.324 0.809
Cl 0.578 0.435 0.823
Cl 0.174 0.958 0.191
Cl 0.360 0.229 0.502
Cl 0.835 0.422 0.177
Cl 0.565 0.835 0.177
Cl 0.676 0.174 0.191
Cl 0.958 0.676 0.191
Cl 0.324 0.826 0.809
Cl 0.826 0.042 0.809
Cl 0.910 0.360 0.502
Cl 0.435 0.165 0.823
Cl 0.165 0.578 0.823
Cl 0.229 0.910 0.502
Cl 0.422 0.565 0.177

## Properties
ΔE_f (raw): -1.4114 eV/atom



The following is a DFT calculation (GGA-PBEsol) of crystalline Cs2PdCl4 at its relaxed geometry.

Unit cell a=4.609 b=7.370 c=7.370 alpha=90.00 beta=90.00 gamma=90.00
Each line ends with the local moment (μB).
Fractional positions:
Cs 0.500 0.500 0.000  0.00
Cs 0.500 0.000 0.500  0.00
Pd 0.000 0.000 0.000  0.07
Cl 0.000 0.780 0.780  0.01
Cl 0.000 0.220 0.780  0.01
Cl 0.000 0.780 0.220  0.01
Cl 0.000 0.220 0.220  0.01

## Properties
ΔE_f (raw): -1.4042 eV/atom



The following is a DFT calculation (GGA-PBEsol) of crystalline Cs2YPdCl at its relaxed geometry.

Unit cell a=5.223 b=6.215 c=6.215 alpha=90.00 beta=90.00 gamma=90.00
Fractional positions:
Cs 0.000 0.000 0.500
Cs 0.000 0.500 0.000
Y 0.500 0.000 0.000
Pd 0.500 0.500 0.500
Cl 0.000 0.000 0.000

## Properties
ΔE_f (raw): 0.0232 eV/atom



The following is a DFT calculation (GGA-PBEsol) of crystalline Cs2PrCl5 at its relaxed geometry.

Unit cell a=8.491 b=9.002 c=13.635 alpha=90.00 beta=90.00 gamma=90.00
Fractional positions:
Cs 0.061 0.994 0.829
Cs 0.939 0.006 0.171
Cs 0.561 0.006 0.671
Cs 0.939 0.494 0.171
Cs 0.439 0.994 0.329
Cs 0.061 0.506 0.829
Cs 0.439 0.506 0.329
Cs 0.561 0.494 0.671
Pr 0.067 0.250 0.505
Pr 0.933 0.750 0.495
Pr 0.567 0.750 0.995
Pr 0.433 0.250 0.005
Cl 0.889 0.250 0.674
Cl 0.111 0.750 0.326
Cl 0.389 0.750 0.826
Cl 0.611 0.250 0.174
Cl 0.159 0.958 0.567
Cl 0.841 0.042 0.433
Cl 0.659 0.042 0.933
Cl 0.841 0.458 0.433
Cl 0.341 0.958 0.067
Cl 0.159 0.542 0.567
Cl 0.341 0.542 0.067
Cl 0.659 0.458 0.933
Cl 0.393 0.250 0.514
Cl 0.607 0.750 0.486
Cl 0.893 0.750 0.986
Cl 0.107 0.250 0.014
Cl 0.355 0.250 0.809
Cl 0.645 0.750 0.191
Cl 0.855 0.750 0.691
Cl 0.145 0.250 0.309

## Properties
ΔE_f (raw): -2.1920 eV/atom



no.,volume (Å³ per cell)
1,121
2,148
3,161
4,154
5,190
6,118
7,164
8,152
9,306
10,216
11,807
12,273
13,470
14,342
15,176
16,144
17,1277
18,672
19,250
20,202
21,1042